Entry P
# BeZn2GaW

BeZn2GaW after structural relaxation (PBE-GGA, Alexandria).

The calculation puts the density of states at the Fermi level at 0.8907 states/eV per atom.

It has space group P4/mmm (No. 123), with a = 4.9034 Å, b = 4.9034 Å, c = 4.8778 Å, α = 90.00°, β = 90.00° and γ = 90.00°. The distinct sites, in fractional coordinates, are Be at (0.0000, 0.0000, 0.0000), Zn at (0.0000, 0.5000, 0.5000), Ga at (0.5000, 0.5000, 0.0000) and W at (0.5000, 0.5000, 0.5000).


Entry Q
# BeZn2GaW

BeZn2GaW after structural relaxation (PBE-GGA, Alexandria).

The calculation puts the density of states at the Fermi level at 0.9137 states/eV per atom.

It has space group P4/mmm (No. 123), with a = 4.9886 Å, b = 4.9886 Å, c = 4.4319 Å, α = 90.00°, β = 90.00° and γ = 90.00°. The distinct sites, in fractional coordinates, are Be at (0.0000, 0.0000, 0.0000), Zn at (0.0000, 0.5000, 0.5000), Ga at (0.5000, 0.5000, 0.0000) and W at (0.0000, 0.0000, 0.5000).


entry Q is favored, and the nearest alternative lies 0.199 eV/atom above it.


Entry P
# Y2BeGa

Y2BeGa after structural relaxation (PBE-GGA, Alexandria).

The calculation puts the density of states at the Fermi level at 0.6102 states/eV per atom.

It has space group Fm-3m (No. 225), with a = 7.0109 Å, b = 7.0109 Å, c = 7.0109 Å, α = 90.00°, β = 90.00° and γ = 90.00°. The distinct sites, in fractional coordinates, are Y at (0.2500, 0.2500, 0.2500), Be at (0.0000, 0.0000, 0.0000) and Ga at (0.0000, 0.0000, 0.5000).


Entry Q
# Y2BeGa

Y2BeGa after structural relaxation (PBE-GGA, Alexandria).

The calculation puts the density of states at the Fermi level at 0.7460 states/eV per atom.

It has space group R-3m (No. 166, hexagonal axes), with a = 3.4502 Å, b = 3.4502 Å, c = 30.7236 Å, α = 90.00°, β = 90.00° and γ = 120.00°. The distinct sites, in fractional coordinates, are Y at (0.0000, 0.0000, 0.0950), Be at (0.0000, 0.0000, 0.0000) and Ga at (0.0000, 0.0000, 0.5000).


entry P is favored, and the nearest alternative lies 0.753 eV/atom above it.


Entry P
# Y2BeGa

Y2BeGa after structural relaxation (PBE-GGA, Alexandria).

The calculation puts the density of states at the Fermi level at 0.6621 states/eV per atom.

It has space group I-42d (No. 122), with a = 7.5910 Å, b = 7.5910 Å, c = 6.7230 Å, α = 90.00°, β = 90.00° and γ = 90.00°. The distinct sites, in fractional coordinates, are Y at (0.2265, 0.2500, 0.1250), Be at (0.0000, 0.0000, 0.0000) and Ga at (0.0000, 0.0000, 0.5000).


Entry Q
# Y2BeGa

Y2BeGa after structural relaxation (PBE-GGA, Alexandria).

The calculation puts the density of states at the Fermi level at 0.6418 states/eV per atom.

It has space group P4/mmm (No. 123), with a = 3.4902 Å, b = 3.4902 Å, c = 7.0316 Å, α = 90.00°, β = 90.00° and γ = 90.00°. The distinct sites, in fractional coordinates, are Y at (0.0000, 0.0000, 0.2351), Be at (0.5000, 0.5000, 0.0000) and Ga at (0.5000, 0.5000, 0.5000).


entry Q is favored, and the nearest alternative lies 0.441 eV/atom above it.